[1]
Computed, not measured: InBTe3 at its PBEsol-relaxed geometry at the SCAN level of DFT.

The structure in extended XYZ format:
```
5
Lattice="4.907 0.000 0.000 0.000 4.907 0.000 0.000 0.000 4.907" Properties=species:S:1:pos:R:3 pbc="T T T"
In 0.000 0.000 0.000
B 2.453 2.453 2.453
Te 0.000 2.453 2.453
Te 2.453 0.000 2.453
Te 2.453 2.453 0.000
```

Computed properties:
* DFT total energy: -2.202 Ry/atom
* space-group type: Pm-3m
* energy relative to the elements, uncorrected: 0.556 eV/atom

---

[2]
Computed, not measured: TlInB3 at its PBEsol-relaxed geometry at the SCAN level of DFT.

The structure in extended XYZ format:
```
5
Lattice="4.555 0.000 0.000 0.000 4.555 0.000 0.000 0.000 4.555" Properties=species:S:1:pos:R:3 pbc="T T T"
Tl 0.000 0.000 0.000
In 2.278 2.278 2.278
B 0.000 0.000 2.278
B 0.000 2.278 0.000
B 2.278 0.000 0.000
```

Computed properties:
* DFT total energy: -1.707 Ry/atom
* space-group type: Pm-3m
* formation energy from the elements: 2381 meV/atom

---

[3]
Computed, not measured: In3BW at its PBEsol-relaxed geometry at the SCAN level of DFT.

The structure in extended XYZ format:
```
5
Lattice="4.602 0.000 0.000 0.000 4.602 0.000 0.000 0.000 4.602" Properties=species:S:1:pos:R:3 pbc="T T T"
In 0.000 0.000 2.301
In 0.000 2.301 0.000
In 2.301 0.000 0.000
B 0.000 0.000 0.000
W 2.301 2.301 2.301
```

Computed properties:
* DFT total energy: -2.501 Ry/atom
* space-group type: Pm-3m
* formation energy from the elements: 1433 meV/atom

---

[4]
Computed, not measured: YIn3B at its PBEsol-relaxed geometry at the SCAN level of DFT.

The structure in extended XYZ format:
```
5
Lattice="4.806 0.000 0.000 0.000 4.806 0.000 0.000 0.000 4.806" Properties=species:S:1:pos:R:3 pbc="T T T"
Y 0.000 0.000 0.000
In 0.000 2.403 2.403
In 2.403 0.000 2.403
In 2.403 2.403 0.000
B 2.403 2.403 2.403
```

Computed properties:
* DFT total energy: -1.967 Ry/atom
* space-group type: Pm-3m
* formation energy from the elements: 323 meV/atom

---

[5]
Computed, not measured: ZrInB3 at its PBEsol-relaxed geometry at the SCAN level of DFT.

The structure in extended XYZ format:
```
5
Lattice="4.262 0.000 0.000 0.000 4.262 0.000 0.000 0.000 4.262" Properties=species:S:1:pos:R:3 pbc="T T T"
Zr 0.000 0.000 0.000
In 2.131 2.131 2.131
B 0.000 2.131 2.131
B 2.131 0.000 2.131
B 2.131 2.131 0.000
```

Computed properties:
* DFT total energy: -1.131 Ry/atom
* space-group type: Pm-3m
* formation energy from the elements: 1893 meV/atom

---

[6]
Computed, not measured: KBIr3 at its PBEsol-relaxed geometry at the SCAN level of DFT.

The structure in extended XYZ format:
```
5
Lattice="4.207 0.000 0.000 0.000 4.207 0.000 0.000 0.000 4.207" Properties=species:S:1:pos:R:3 pbc="T T T"
K 0.000 0.000 0.000
B 2.104 2.104 2.104
Ir 0.000 2.104 2.104
Ir 2.104 0.000 2.104
Ir 2.104 2.104 0.000
```

Computed properties:
* DFT total energy: -3.328 Ry/atom
* space-group type: Pm-3m
* formation energy from the elements: 528 meV/atom

---

[7]
Computed, not measured: KReBIr2 at its PBEsol-relaxed geometry at the SCAN level of DFT.

The structure in extended XYZ format:
```
5
Lattice="4.777 0.000 0.000 0.000 4.777 0.000 0.000 0.000 4.344" Properties=species:S:1:pos:R:3 pbc="T T T"
K 0.000 0.000 0.000
Re 2.388 2.388 2.172
B 2.388 2.388 0.000
Ir 0.000 2.388 2.172
Ir 2.388 0.000 2.172
```

Computed properties:
* DFT total energy: -3.274 Ry/atom
* space-group type: P4/mmm
* formation energy from the elements: 1272 meV/atom

---

[8]
Computed, not measured: LaB2Ir3 at its PBEsol-relaxed geometry at the SCAN level of DFT.

The structure in extended XYZ format:
```
6
Lattice="5.531 0.000 0.000 -2.765 4.790 0.000 0.000 0.000 3.097" Properties=species:S:1:pos:R:3 pbc="T T T"
La 0.000 0.000 0.000
B 0.000 3.193 0.000
B 2.765 1.597 0.000
Ir -1.383 2.395 1.549
Ir 2.765 0.000 1.549
Ir 1.383 2.395 1.549
```

Computed properties:
* DFT total energy: -3.379 Ry/atom
* space-group type: P6/mmm
* formation energy from the elements: -764 meV/atom

---

[9]
Computed, not measured: Li2BIr2 at its PBEsol-relaxed geometry at the SCAN level of DFT.

The structure in extended XYZ format:
```
10
Lattice="5.500 0.000 0.000 0.000 5.500 0.000 0.000 0.000 4.322" Properties=species:S:1:pos:R:3 pbc="T T T"
Li 0.887 1.863 0.000
Li 1.863 4.612 0.000
Li 3.637 0.887 0.000
Li 4.612 3.637 0.000
B 0.000 0.000 2.161
B 2.750 2.750 2.161
Ir 0.890 3.640 2.161
Ir 1.859 0.890 2.161
Ir 3.640 4.609 2.161
Ir 4.609 1.859 2.161
```

Computed properties:
* DFT total energy: -2.300 Ry/atom
* space-group type: P4/mbm
* formation energy from the elements: -405 meV/atom

---

[10]
Computed, not measured: LiB2Ir2 at its PBEsol-relaxed geometry at the SCAN level of DFT.

The structure in extended XYZ format:
```
5
Lattice="-1.868 1.868 4.068 1.868 -1.868 4.068 1.868 1.868 -4.068" Properties=species:S:1:pos:R:3 pbc="T T T"
Li 0.000 0.000 0.000
B 0.000 0.000 3.165
B 0.000 0.000 4.970
Ir 1.868 0.000 2.034
Ir 0.000 1.868 2.034
```

Computed properties:
* DFT total energy: -2.373 Ry/atom
* space-group type: I4/mmm
* formation energy from the elements: -397 meV/atom

---

[11]
Computed, not measured: LuB2Ir3 at its PBEsol-relaxed geometry at the SCAN level of DFT.

The structure in extended XYZ format:
```
6
Lattice="5.378 0.000 0.000 -2.689 4.658 0.000 0.000 0.000 3.120" Properties=species:S:1:pos:R:3 pbc="T T T"
Lu 0.000 0.000 0.000
B 0.000 3.105 0.000
B 2.689 1.553 0.000
Ir -1.345 2.329 1.560
Ir 2.689 0.000 1.560
Ir 1.345 2.329 1.560
```

Computed properties:
* DFT total energy: -3.533 Ry/atom
* space-group type: P6/mmm
* formation energy from the elements: -821 meV/atom

---

[12]
Computed, not measured: YLuB8Ir8 at its PBEsol-relaxed geometry at the SCAN level of DFT.

The structure in extended XYZ format:
```
18
Lattice="5.350 0.000 0.000 0.000 5.350 0.000 0.000 0.000 7.387" Properties=species:S:1:pos:R:3 pbc="T T T"
Y 0.000 0.000 0.000
Lu 2.675 2.675 3.693
B 0.000 1.748 2.563
B 0.000 3.602 2.563
B 0.923 2.675 6.254
B 1.748 0.000 4.823
B 2.675 0.923 1.132
B 2.675 4.427 1.132
B 3.602 0.000 4.823
B 4.427 2.675 6.254
Ir 0.000 1.334 4.749
Ir 0.000 4.016 4.749
Ir 1.334 0.000 2.638
Ir 1.347 2.675 1.079
Ir 2.675 1.347 6.307
Ir 2.675 4.004 6.307
Ir 4.004 2.675 1.079
Ir 4.016 0.000 2.638
```

Computed properties:
* DFT total energy: -2.948 Ry/atom
* space-group type: P-4m2
* formation energy from the elements: -587 meV/atom

---

[13]
Computed, not measured: MgBIr2 at its PBEsol-relaxed geometry at the SCAN level of DFT.

The structure in extended XYZ format:
```
4
Lattice="0.000 2.887 2.887 2.887 0.000 2.887 2.887 2.887 0.000" Properties=species:S:1:pos:R:3 pbc="T T T"
Mg 0.000 0.000 0.000
B 2.887 2.887 2.887
Ir 1.444 1.444 1.444
Ir 4.331 4.331 4.331
```

Computed properties:
* DFT total energy: -2.838 Ry/atom
* space-group type: Fm-3m
* formation energy from the elements: 43 meV/atom

---

[14]
Computed, not measured: Mg10B16Ir19 at its PBEsol-relaxed geometry at the SCAN level of DFT.

The structure in extended XYZ format:
```
45
Lattice="-5.277 5.277 5.277 5.277 -5.277 5.277 5.277 5.277 -5.277" Properties=species:S:1:pos:R:3 pbc="T T T"
Mg 3.517 3.517 -3.517
Mg 3.666 0.000 0.000
Mg 6.888 0.000 0.000
Mg 3.517 -3.517 3.517
Mg 1.760 1.760 1.760
Mg 0.000 3.666 0.000
Mg 0.000 0.000 3.666
Mg 0.000 6.888 0.000
Mg 0.000 0.000 6.888
Mg -3.517 3.517 3.517
B 1.178 1.178 -1.178
B 1.178 -1.178 1.178
B 4.347 1.729 -1.729
B 4.347 -1.729 1.729
B -1.178 1.178 1.178
B 1.729 4.347 -1.729
B 1.729 -1.729 4.347
B 6.208 1.729 1.729
B 3.548 3.548 0.931
B 3.548 0.931 3.548
B -1.729 4.347 1.729
B -1.729 1.729 4.347
B 0.931 3.548 3.548
B 1.729 6.208 1.729
B 1.729 1.729 6.208
B 4.099 4.099 4.099
Ir 0.000 0.000 0.000
Ir 6.019 2.614 -2.614
Ir 6.019 -2.614 2.614
Ir 2.663 2.663 -0.742
Ir 2.663 -0.742 2.663
Ir 5.277 2.639 0.000
Ir 5.277 0.000 2.639
Ir 2.614 6.019 -2.614
Ir 2.614 -2.614 6.019
Ir 4.536 2.614 2.614
Ir 2.639 5.277 0.000
Ir 2.639 0.000 5.277
Ir -0.742 2.663 2.663
Ir 2.614 4.536 2.614
Ir 2.614 2.614 4.536
Ir 0.000 5.277 2.639
Ir 0.000 2.639 5.277
Ir -2.614 6.019 2.614
Ir -2.614 2.614 6.019
```

Computed properties:
* DFT total energy: -2.523 Ry/atom
* space-group type: I-43m
* formation energy from the elements: -567 meV/atom

---

[15]
Computed, not measured: MgBIr at its PBEsol-relaxed geometry at the SCAN level of DFT.

The structure in extended XYZ format:
```
18
Lattice="5.264 0.000 0.000 -2.632 4.558 0.000 0.000 0.000 9.421" Properties=species:S:1:pos:R:3 pbc="T T T"
Mg 0.000 0.000 0.000
Mg 0.000 0.000 3.140
Mg 0.000 0.000 6.281
Mg -1.316 2.279 1.570
Mg 2.632 0.000 4.711
Mg 1.316 2.279 7.851
B -0.503 2.749 6.281
B 0.503 2.749 3.140
B 0.000 3.620 0.000
B 2.632 0.939 0.000
B 2.129 1.810 3.140
B 3.135 1.810 6.281
Ir -1.316 2.279 4.293
Ir -1.316 2.279 8.268
Ir 2.632 0.000 1.988
Ir 2.632 0.000 7.433
Ir 1.316 2.279 1.153
Ir 1.316 2.279 5.128
```

Computed properties:
* DFT total energy: -2.087 Ry/atom
* space-group type: P6_222
* formation energy from the elements: -558 meV/atom

---

[16]
Computed, not measured: Mg2BIr2 at its PBEsol-relaxed geometry at the SCAN level of DFT.

The structure in extended XYZ format:
```
10
Lattice="5.732 0.000 0.000 0.000 5.732 0.000 0.000 0.000 4.331" Properties=species:S:1:pos:R:3 pbc="T T T"
Mg 0.942 1.924 0.000
Mg 1.924 4.791 0.000
Mg 3.808 0.942 0.000
Mg 4.791 3.808 0.000
B 0.000 0.000 2.166
B 2.866 2.866 2.166
Ir 0.919 3.785 2.166
Ir 1.947 0.919 2.166
Ir 3.785 4.813 2.166
Ir 4.813 1.947 2.166
```

Computed properties:
* DFT total energy: -2.385 Ry/atom
* space-group type: P4/mbm
* formation energy from the elements: -529 meV/atom

---

[17]
Computed, not measured: Mg2SiB2Ir5 at its PBEsol-relaxed geometry at the SCAN level of DFT.

The structure in extended XYZ format:
```
20
Lattice="9.331 0.000 0.000 0.000 9.331 0.000 0.000 0.000 2.885" Properties=species:S:1:pos:R:3 pbc="T T T"
Mg 1.634 3.031 0.000
Mg 3.031 7.697 0.000
Mg 6.300 1.634 0.000
Mg 7.697 6.300 0.000
Si 0.000 0.000 0.000
Si 4.665 4.665 0.000
B 1.174 5.840 0.000
B 3.491 1.174 0.000
B 5.840 8.157 0.000
B 8.157 3.491 0.000
Ir 0.000 4.665 1.443
Ir 0.667 7.378 1.443
Ir 1.952 0.667 1.443
Ir 2.713 5.333 1.443
Ir 3.998 2.713 1.443
Ir 4.665 0.000 1.443
Ir 5.333 6.618 1.443
Ir 6.618 3.998 1.443
Ir 7.378 8.664 1.443
Ir 8.664 1.952 1.443
```

Computed properties:
* DFT total energy: -2.923 Ry/atom
* space-group type: P4/mbm
* energy relative to the elements, uncorrected: -0.739 eV/atom

---

[18]
Computed, not measured: Mg2ZnB2Ir5 at its PBEsol-relaxed geometry at the SCAN level of DFT.

The structure in extended XYZ format:
```
20
Lattice="9.371 0.000 0.000 0.000 9.371 0.000 0.000 0.000 2.916" Properties=species:S:1:pos:R:3 pbc="T T T"
Mg 1.657 3.029 0.000
Mg 3.029 7.714 0.000
Mg 6.343 1.657 0.000
Mg 7.714 6.343 0.000
Zn 0.000 0.000 0.000
Zn 4.686 4.686 0.000
B 1.189 5.874 0.000
B 3.497 1.189 0.000
B 5.874 8.183 0.000
B 8.183 3.497 0.000
Ir 0.000 4.686 1.458
Ir 0.657 7.355 1.458
Ir 2.016 0.657 1.458
Ir 2.670 5.342 1.458
Ir 4.029 2.670 1.458
Ir 4.686 0.000 1.458
Ir 5.342 6.702 1.458
Ir 6.702 4.029 1.458
Ir 7.355 8.715 1.458
Ir 8.715 2.016 1.458
```

Computed properties:
* DFT total energy: -2.935 Ry/atom
* space-group type: P4/mbm
* formation energy from the elements: -554 meV/atom

---

[19]
Computed, not measured: MnBIr2 at its PBEsol-relaxed geometry at the SCAN level of DFT.

The structure in extended XYZ format:
```
8
Lattice="-2.491 2.491 4.861 2.491 -2.491 4.861 2.491 2.491 -4.861" Properties=species:S:1:pos:R:3 pbc="T T T"
Mn 0.000 0.000 0.000
Mn 0.000 2.491 2.431
B 2.491 0.000 2.431
B 0.000 0.000 4.861
Ir 1.246 -1.046 3.646
Ir 1.446 1.246 1.215
Ir 1.246 3.537 -1.215
Ir 1.046 1.246 6.077
```

Computed properties:
* DFT total energy: -3.054 Ry/atom
* space-group type: I-42d
* formation energy from the elements: 422 meV/atom

---

[20]
Computed, not measured: Mn2B2Ir at its PBEsol-relaxed geometry at the SCAN level of DFT.

The structure in extended XYZ format:
```
10
Lattice="5.481 0.000 0.000 0.000 5.481 0.000 0.000 0.000 3.218" Properties=species:S:1:pos:R:3 pbc="T T T"
Mn 0.914 1.827 0.000
Mn 1.827 4.568 0.000
Mn 3.654 0.914 0.000
Mn 4.568 3.654 0.000
B 0.644 3.385 1.609
B 2.096 0.644 1.609
B 3.385 4.837 1.609
B 4.837 2.096 1.609
Ir 0.000 0.000 1.609
Ir 2.741 2.741 1.609
```

Computed properties:
* DFT total energy: -1.838 Ry/atom
* space-group type: P4/mbm
* formation energy from the elements: -511 meV/atom

---

[21]
Computed, not measured: BIrS2N at its PBEsol-relaxed geometry at the SCAN level of DFT.

The structure in extended XYZ format:
```
5
Lattice="4.608 0.000 0.000 0.000 4.608 0.000 0.000 0.000 2.747" Properties=species:S:1:pos:R:3 pbc="T T T"
B 0.000 0.000 0.000
Ir 2.304 2.304 1.374
S 0.000 2.304 0.000
S 2.304 0.000 0.000
N 0.000 0.000 1.374
```

Computed properties:
* DFT total energy: -1.522 Ry/atom
* space-group type: P4/mmm
* energy relative to the elements, uncorrected: 0.705 eV/atom

---

[22]
Computed, not measured: BTe2IrN at its PBEsol-relaxed geometry at the SCAN level of DFT.

The structure in extended XYZ format:
```
5
Lattice="5.376 0.000 0.000 0.000 5.376 0.000 0.000 0.000 3.608" Properties=species:S:1:pos:R:3 pbc="T T T"
B 0.000 0.000 0.000
Te 0.000 2.688 1.804
Te 2.688 0.000 1.804
Ir 2.688 2.688 1.804
N 2.688 2.688 0.000
```

Computed properties:
* DFT total energy: -2.304 Ry/atom
* space-group type: P4/mmm
* energy relative to the elements, uncorrected: 1.119 eV/atom